w | HoCd2Au2: relaxed, PBE.

Cell: 9.350 6.666 7.678 Å, 90.00 112.47 90.00°
Space group C2/c (No. 15)
Symmetry-distinct sites (fractional):
Ho 0.000 0.089 0.250 (multiplicity 4)
Cd 0.128 0.399 0.957 (multiplicity 8)
Au 0.181 0.211 0.644 (multiplicity 8)

x | HoCd2Au2: relaxed, PBE.

Cell: 4.852 4.812 10.046 Å, 90.00 92.48 90.00°
Space group P2_1/m (No. 11)
Symmetry-distinct sites (fractional):
Ho 0.234 0.250 0.325 (multiplicity 2)
Cd 0.257 0.250 0.679 (multiplicity 2)
Cd 0.273 0.250 0.992 (multiplicity 2)
Au 0.235 0.750 0.157 (multiplicity 2)
Au 0.253 0.750 0.511 (multiplicity 2)

w is preferred energetically. Next in line: 11 meV/atom higher.

w | Ho3Cd2Au: relaxed, PBE.

Cell: 5.1884 5.1884 6.3792 Å, 90.00 90.00 120.00°
Space group P-3m1 (No. 164)
Symmetry-distinct sites (fractional):
Ho 0.0000 0.0000 0.0000 (multiplicity 1)
Ho 0.3333 0.6667 0.6494 (multiplicity 2)
Cd 0.3333 0.6667 0.1466 (multiplicity 2)
Au 0.0000 0.0000 0.5000 (multiplicity 1)

x | Ho3Cd2Au: relaxed, PBE.

Cell: 3.665 3.665 11.102 Å, 90.00 90.00 90.00°
Space group P4/mmm (No. 123)
Symmetry-distinct sites (fractional):
Ho 0.000 0.000 0.000 (multiplicity 1)
Ho 0.000 0.000 0.345 (multiplicity 2)
Cd 0.500 0.500 0.168 (multiplicity 2)
Au 0.500 0.500 0.500 (multiplicity 1)

x is preferred energetically. Next in line: 15 meV/atom higher.

w | PmHoCdAu: relaxed, PBE.

Cell: 3.697 3.697 7.448 Å, 90.00 90.00 90.00°
Space group P4mm (No. 99)
Symmetry-distinct sites (fractional):
Pm 0.000 0.000 0.000 (multiplicity 1)
Ho 0.000 0.000 0.473 (multiplicity 1)
Cd 0.500 0.500 0.726 (multiplicity 1)
Au 0.500 0.500 0.260 (multiplicity 1)

x | PmHoCdAu: relaxed, PBE.

Cell: 7.410 7.410 7.410 Å, 90.00 90.00 90.00°
Space group F-43m (No. 216)
Symmetry-distinct sites (fractional):
Pm 0.000 0.000 0.000 (multiplicity 4)
Ho 0.000 0.000 0.500 (multiplicity 4)
Cd 0.250 0.250 0.750 (multiplicity 4)
Au 0.250 0.250 0.250 (multiplicity 4)

w is preferred energetically. Next in line: 34 meV/atom higher.

w | PrHoCdAu: relaxed, PBE.

Cell: 3.708 3.708 7.570 Å, 90.00 90.00 90.00°
Space group P4mm (No. 99)
Symmetry-distinct sites (fractional):
Pr 0.000 0.000 0.000 (multiplicity 1)
Ho 0.000 0.000 0.472 (multiplicity 1)
Cd 0.500 0.500 0.722 (multiplicity 1)
Au 0.500 0.500 0.271 (multiplicity 1)

x | PrHoCdAu: relaxed, PBE.

Cell: 7.467 7.467 7.467 Å, 90.00 90.00 90.00°
Space group F-43m (No. 216)
Symmetry-distinct sites (fractional):
Pr 0.000 0.000 0.000 (multiplicity 4)
Ho 0.000 0.000 0.500 (multiplicity 4)
Cd 0.250 0.250 0.250 (multiplicity 4)
Au 0.250 0.250 0.750 (multiplicity 4)

w is preferred energetically. Next in line: 44 meV/atom higher.

w | HoScCdAu: relaxed, PBE.

Cell: 7.125 7.125 7.125 Å, 90.00 90.00 90.00°
Space group F-43m (No. 216)
Symmetry-distinct sites (fractional):
Ho 0.000 0.000 0.000 (multiplicity 4)
Sc 0.000 0.000 0.500 (multiplicity 4)
Cd 0.250 0.250 0.250 (multiplicity 4)
Au 0.250 0.250 0.750 (multiplicity 4)

x | HoScCdAu: relaxed, PBE.

Cell: 3.575 3.575 7.068 Å, 90.00 90.00 90.00°
Space group P4mm (No. 99)
Symmetry-distinct sites (fractional):
Ho 0.000 0.000 0.000 (multiplicity 1)
Sc 0.000 0.000 0.526 (multiplicity 1)
Cd 0.500 0.500 0.284 (multiplicity 1)
Au 0.500 0.500 0.744 (multiplicity 1)

x is preferred energetically. Next in line: 35 meV/atom higher.

w | TbHoCdAu: relaxed, PBE.

Cell: 3.677 3.677 7.298 Å, 90.00 90.00 90.00°
Space group P4mm (No. 99)
Symmetry-distinct sites (fractional):
Tb 0.000 0.000 0.000 (multiplicity 1)
Ho 0.000 0.000 0.527 (multiplicity 1)
Cd 0.500 0.500 0.266 (multiplicity 1)
Au 0.500 0.500 0.757 (multiplicity 1)

x | TbHoCdAu: relaxed, PBE.

Cell: 7.331 7.331 7.331 Å, 90.00 90.00 90.00°
Space group F-43m (No. 216)
Symmetry-distinct sites (fractional):
Tb 0.000 0.000 0.000 (multiplicity 4)
Ho 0.000 0.000 0.500 (multiplicity 4)
Cd 0.250 0.250 0.750 (multiplicity 4)
Au 0.250 0.250 0.250 (multiplicity 4)

w is preferred energetically. Next in line: 30 meV/atom higher.

w | CdAuI2: relaxed, PBE.

Cell: 7.679 7.679 7.679 Å, 90.00 90.00 90.00°
Space group Fm-3m (No. 225)
Symmetry-distinct sites (fractional):
Cd 0.000 0.000 0.000 (multiplicity 4)
Au 0.000 0.000 0.500 (multiplicity 4)
I 0.250 0.250 0.250 (multiplicity 8)

x | CdAuI2: relaxed, PBE.

Cell: 6.904 6.904 13.622 Å, 90.00 90.00 90.00°
Space group I-42d (No. 122)
Symmetry-distinct sites (fractional):
Cd 0.000 0.000 0.000 (multiplicity 4)
Au 0.000 0.000 0.500 (multiplicity 4)
I 0.217 0.250 0.625 (multiplicity 8)

x is preferred energetically. Next in line: 221 meV/atom higher.

w | CdAu2I: relaxed, PBE.

Cell: 7.724 7.724 6.916 Å, 90.00 90.00 90.00°
Space group I-42d (No. 122)
Symmetry-distinct sites (fractional):
Cd 0.000 0.000 0.000 (multiplicity 4)
Au 0.235 0.250 0.125 (multiplicity 8)
I 0.000 0.000 0.500 (multiplicity 4)

x | CdAu2I: relaxed, PBE.

Cell: 7.186 7.186 7.186 Å, 90.00 90.00 90.00°
Space group Fm-3m (No. 225)
Symmetry-distinct sites (fractional):
Cd 0.000 0.000 0.000 (multiplicity 4)
Au 0.250 0.250 0.250 (multiplicity 8)
I 0.000 0.000 0.500 (multiplicity 4)

w is preferred energetically. Next in line: 158 meV/atom higher.

w | CdIn2AuI: relaxed, PBE.

Cell: 5.381 5.381 6.075 Å, 90.00 90.00 90.00°
Space group P4/mmm (No. 123)
Symmetry-distinct sites (fractional):
Cd 0.000 0.000 0.000 (multiplicity 1)
In 0.000 0.500 0.500 (multiplicity 2)
Au 0.500 0.500 0.500 (multiplicity 1)
I 0.500 0.500 0.000 (multiplicity 1)

x | CdIn2AuI: relaxed, PBE.

Cell: 5.435 5.435 5.393 Å, 90.00 90.00 90.00°
Space group P4/mmm (No. 123)
Symmetry-distinct sites (fractional):
Cd 0.000 0.000 0.000 (multiplicity 1)
In 0.000 0.500 0.500 (multiplicity 2)
Au 0.000 0.000 0.500 (multiplicity 1)
I 0.500 0.500 0.000 (multiplicity 1)

x is preferred energetically. Next in line: 268 meV/atom higher.

w | TlCd2AuI: relaxed, PBE.

Cell: 5.380 5.380 5.847 Å, 90.00 90.00 90.00°
Space group P4/mmm (No. 123)
Symmetry-distinct sites (fractional):
Tl 0.000 0.000 0.000 (multiplicity 1)
Cd 0.000 0.500 0.500 (multiplicity 2)
Au 0.000 0.000 0.500 (multiplicity 1)
I 0.500 0.500 0.000 (multiplicity 1)

x | TlCd2AuI: relaxed, PBE.

Cell: 5.763 5.763 5.287 Å, 90.00 90.00 90.00°
Space group P4/mmm (No. 123)
Symmetry-distinct sites (fractional):
Tl 0.000 0.000 0.000 (multiplicity 1)
Cd 0.000 0.500 0.000 (multiplicity 2)
Au 0.000 0.000 0.500 (multiplicity 1)
I 0.500 0.500 0.500 (multiplicity 1)

w is preferred energetically. Next in line: 411 meV/atom higher.

w | Cd12InAu6: relaxed, PBE.

Cell: 12.7766 12.7766 9.2422 Å, 90.00 90.00 120.00°
Space group R-3m (No. 166, hexagonal axes)
Symmetry-distinct sites (fractional):
Cd 0.0000 0.3848 0.0000 (multiplicity 18)
Cd 0.0836 0.1672 0.7906 (multiplicity 18)
In 0.0000 0.0000 0.5000 (multiplicity 3)
Au 0.0611 0.5306 0.7413 (multiplicity 18)

x | Cd12InAu6: relaxed, PBE.

Cell: 10.1279 10.1279 13.4706 Å, 90.00 90.00 120.00°
Space group R-3 (No. 148, hexagonal axes)
Symmetry-distinct sites (fractional):
Cd 0.0532 0.1869 0.2954 (multiplicity 18)
Cd 0.0633 0.8330 0.9186 (multiplicity 18)
In 0.0000 0.0000 0.5000 (multiplicity 3)
Au 0.0256 0.4351 0.2138 (multiplicity 18)

x is preferred energetically. Next in line: 22 meV/atom higher.

w | Cd2InAu6: relaxed, PBE.

Cell: 3.926 8.599 11.847 Å, 90.00 90.00 90.00°
Space group Immm (No. 71)
Symmetry-distinct sites (fractional):
Cd 0.000 0.000 0.160 (multiplicity 4)
In 0.000 0.000 0.500 (multiplicity 2)
Au 0.000 0.248 0.332 (multiplicity 8)
Au 0.000 0.257 0.000 (multiplicity 4)

x | Cd2InAu6: relaxed, PBE.

Cell: 5.075 15.362 5.097 Å, 90.00 119.27 90.00°
Space group C2/m (No. 12)
Symmetry-distinct sites (fractional):
Cd 0.000 0.165 0.000 (multiplicity 4)
In 0.000 0.000 0.500 (multiplicity 2)
Au 0.165 0.332 0.333 (multiplicity 8)
Au 0.165 0.500 0.832 (multiplicity 4)

x is preferred energetically. Next in line: 37 meV/atom higher.